--- P ---
H2OsRu | PBE-GGA | relaxed

Values from the calculation:
DOS at the Fermi energy: 4.2 states/eV/f.u.
Space-group type: Fm-3m

Cell lengths 3.705, 3.705, 3.705 Å; angles 60.00, 60.00, 60.00 degrees
Atoms (fractional coordinates):
Ru  0.000  0.000  0.000
H  0.750  0.750  0.750
H  0.250  0.250  0.250
Os  0.500  0.500  0.500


--- Q ---
H2OsRu | PBE-GGA | relaxed

Values from the calculation:
DOS at the Fermi energy: 2.3 states/eV/f.u.
Space-group type: I-42d

Cell lengths 4.117, 4.117, 5.045 Å; angles 65.92, 65.92, 90.00 degrees
Atoms (fractional coordinates):
H  0.875  0.871  0.750
H  0.375  0.379  0.750
H  0.129  0.625  0.250
H  0.621  0.125  0.250
Ru  0.250  0.750  0.500
Ru  0.500  0.500  0.000
Os  0.000  0.000  0.000
Os  0.750  0.250  0.500


Least stable = P


--- P ---
TaHOs2Ru | PBE-GGA | relaxed

Values from the calculation:
DOS at the Fermi energy: 4.1 states/eV/f.u.
Space-group type: P4/mmm

Cell lengths 3.918, 3.918, 4.058 Å; angles 90.00, 90.00, 90.00 degrees
Atoms (fractional coordinates):
Ta  0.000  0.000  0.500
Os  0.500  0.000  0.000
Os  0.000  0.500  0.000
Ru  0.500  0.500  0.500
H  0.000  0.000  0.000


--- Q ---
TaHOs2Ru | PBE-GGA | relaxed

Values from the calculation:
DOS at the Fermi energy: 4.9 states/eV/f.u.
Space-group type: P4/mmm

Cell lengths 3.953, 3.953, 3.978 Å; angles 90.00, 90.00, 90.00 degrees
Atoms (fractional coordinates):
Os  0.000  0.500  0.000
Os  0.500  0.000  0.000
H  0.000  0.000  0.000
Ru  0.000  0.000  0.500
Ta  0.500  0.500  0.500


Least stable = P